DFT (PBE) results for RbGe after structural relaxation.

Unit cell a=10.3048 b=10.3048 c=10.3048 alpha=90.00 beta=90.00 gamma=90.00
Closest atoms and distances in Å follow each position.
Space group Pm-3n (No. 223)
One atom of each set of equivalent atoms:
Rb 0.0000 0.2500 0.5000  4 Ge 3.64
Ge 0.0000 0.5000 0.2500  4 Rb 3.64

Properties
Magnetization (μB per formula unit): 3.0
Energy above the most stable polymorph in this dataset (eV per atom): 1.075
E_form (meV per atom): 887
Calculated total energy (eV per atom): -1.905